(1)
## MoAs2Cl (PBE-GGA)

Data for a relaxed structure of MoAs2Cl.

Geometry as POSCAR:
```
MoAs2Cl
1.0
-3.129 3.129 5.634
3.129 -3.129 5.634
3.129 3.129 -5.634
Mo As Cl
2 4 2
Direct
0.000 0.000 0.000 Mo
0.750 0.250 0.500 Mo
0.054 0.625 0.929 As
0.375 0.304 0.429 As
0.696 0.125 0.071 As
0.875 0.946 0.571 As
0.250 0.750 0.500 Cl
0.500 0.500 0.000 Cl
```

Total magnetic moment, μB per cell: 0.0
Density of states at the Fermi level, states/eV per atom: 1.95
Space group: I-42d (122)
Relative energy among the computed polymorphs, meV/atom: 495.4
Raw formation energy, eV per formula unit: 1.42

(2)
## LiZnTe2 (PBE-GGA)

Data for a relaxed structure of LiZnTe2.

Geometry as POSCAR:
```
LiZnTe2
1.0
-1.929 1.998 6.225
1.929 -1.998 6.225
1.929 1.998 -6.225
Li Zn Te
1 1 2
Direct
0.000 0.000 0.000 Li
0.738 0.238 0.500 Zn
0.327 0.827 0.500 Te
0.572 0.572 0.000 Te
```

Total magnetic moment, μB per cell: 0.0
Density of states at the Fermi level, states/eV per atom: 0.51
Space group: Imm2 (44)
Raw formation energy, eV per formula unit: -1.15

(3)
## YRu3C (PBE-GGA)

Data for a relaxed structure of YRu3C.

Geometry as POSCAR:
```
YRu3C
1.0
-2.498 2.498 6.699
2.498 -2.498 6.699
2.498 2.498 -6.699
Y Ru C
2 6 2
Direct
0.191 0.191 0.000 Y
0.809 0.809 0.000 Y
0.065 0.565 0.500 Ru
0.130 0.389 0.741 Ru
0.435 0.935 0.500 Ru
0.611 0.352 0.741 Ru
0.611 0.870 0.259 Ru
0.648 0.389 0.259 Ru
0.500 0.500 0.000 C
0.750 0.250 0.500 C
```

Total magnetic moment, μB per cell: 0.0
Density of states at the Fermi level, states/eV per atom: 0.85
Space group: I-4m2 (119)
Calculated formation energy, meV per atom: 309

(4)
## Li3Ac2InSn4 (PBE-GGA)

Data for a relaxed structure of Li3Ac2InSn4.

Geometry as POSCAR:
```
Li3Ac2InSn4
1.0
4.671 0.000 0.000
0.000 4.671 0.000
0.000 0.000 11.776
Li Ac In Sn
3 2 1 4
Direct
0.000 0.000 0.000 Li
0.000 0.500 0.624 Li
0.500 0.000 0.376 Li
0.000 0.500 0.263 Ac
0.500 0.000 0.737 Ac
0.500 0.500 0.000 In
0.000 0.000 0.500 Sn
0.000 0.500 0.849 Sn
0.500 0.000 0.151 Sn
0.500 0.500 0.500 Sn
```

Total magnetic moment, μB per cell: 0.0
Density of states at the Fermi level, states/eV per atom: 0.18
Space group: P-4m2 (115)
Calculated formation energy, meV per atom: -573

(5)
## Nd3Cd2Rh (PBE-GGA)

Data for a relaxed structure of Nd3Cd2Rh.

Geometry as POSCAR:
```
Nd3Cd2Rh
1.0
8.527 -2.728 0.000
8.527 2.728 0.000
0.000 0.000 7.187
Nd Cd Rh
6 4 2
Direct
0.006 0.994 0.750 Nd
0.365 0.365 0.000 Nd
0.365 0.365 0.500 Nd
0.635 0.635 0.000 Nd
0.635 0.635 0.500 Nd
0.994 0.006 0.250 Nd
0.198 0.199 0.250 Cd
0.199 0.198 0.750 Cd
0.801 0.802 0.250 Cd
0.802 0.801 0.750 Cd
0.494 0.506 0.250 Rh
0.506 0.494 0.750 Rh
```

Total magnetic moment, μB per cell: 0.0
Density of states at the Fermi level, states/eV per atom: 0.84
Space group: Cmcm (63)
Relative energy among the computed polymorphs, meV/atom: 41.6
Calculated formation energy, meV per atom: -383

(6)
## ZnAgHg2 (PBE-GGA)

Data for a relaxed structure of ZnAgHg2.

Geometry as POSCAR:
```
ZnAgHg2
1.0
3.005 -4.061 0.000
3.005 4.061 0.000
-0.088 0.000 3.312
Zn Ag Hg
1 1 2
Direct
0.000 0.000 0.000 Zn
0.500 0.500 0.000 Ag
0.000 0.500 0.500 Hg
0.500 0.000 0.500 Hg
```

Total magnetic moment, μB per cell: 0.0
Density of states at the Fermi level, states/eV per atom: 0.27
Space group: C2/m (12)
Calculated formation energy, meV per atom: 114

(7)
## Nb2AsW (PBE-GGA)

Data for a relaxed structure of Nb2AsW.

Geometry as POSCAR:
```
Nb2AsW
1.0
-3.570 3.570 2.877
3.570 -3.570 2.877
3.570 3.570 -2.877
Nb As W
4 2 2
Direct
0.111 0.625 0.986 Nb
0.375 0.361 0.486 Nb
0.639 0.125 0.014 Nb
0.875 0.889 0.514 Nb
0.000 0.000 0.000 As
0.750 0.250 0.500 As
0.250 0.750 0.500 W
0.500 0.500 0.000 W
```

Total magnetic moment, μB per cell: 0.0
Density of states at the Fermi level, states/eV per atom: 0.91
Space group: I-42d (122)
Calculated formation energy, meV per atom: 523

(8)
## PmPrDyAl (PBE-GGA)

Data for a relaxed structure of PmPrDyAl.

Geometry as POSCAR:
```
PmPrDyAl
1.0
3.569 0.000 0.000
0.000 3.569 0.000
0.000 0.000 9.278
Pm Pr Dy Al
1 1 1 1
Direct
0.000 0.000 0.000 Pm
0.500 0.500 0.299 Pr
0.000 0.000 0.583 Dy
0.500 0.500 0.785 Al
```

Total magnetic moment, μB per cell: 0.0
Density of states at the Fermi level, states/eV per atom: 0.86
Space group: P4mm (99)
Relative energy among the computed polymorphs, meV/atom: 0.0
Calculated formation energy, meV per atom: -177

(9)
## Pr2Y3TmBi6 (PBE-GGA)

Data for a relaxed structure of Pr2Y3TmBi6.

Geometry as POSCAR:
```
Pr2Y3TmBi6
1.0
3.923 -6.800 0.000
3.923 6.800 0.000
-2.621 0.000 7.390
Pr Y Tm Bi
2 3 1 6
Direct
0.165 0.835 0.000 Pr
0.835 0.165 0.000 Pr
0.000 0.000 0.500 Y
0.329 0.671 0.500 Y
0.671 0.329 0.500 Y
0.500 0.500 0.000 Tm
0.090 0.416 0.746 Bi
0.261 0.261 0.258 Bi
0.416 0.090 0.746 Bi
0.584 0.910 0.254 Bi
0.739 0.739 0.742 Bi
0.910 0.584 0.254 Bi
```

Total magnetic moment, μB per cell: 0.0
Density of states at the Fermi level, states/eV per atom: 0.19
Space group: C2/m (12)
Calculated formation energy, meV per atom: -892

(10)
## Gd2AlPb (PBE-GGA)

Data for a relaxed structure of Gd2AlPb.

Geometry as POSCAR:
```
Gd2AlPb
1.0
3.446 0.000 0.000
0.000 3.446 0.000
0.000 0.000 8.922
Gd Al Pb
2 1 1
Direct
0.000 0.000 0.230 Gd
0.000 0.000 0.770 Gd
0.500 0.500 0.000 Al
0.500 0.500 0.500 Pb
```

Total magnetic moment, μB per cell: 14.7
Density of states at the Fermi level, states/eV per atom: 0.67
Space group: P4/mmm (123)
Calculated formation energy, meV per atom: -434

(11)
## ZrAgAs4 (PBE-GGA)

Data for a relaxed structure of ZrAgAs4.

Geometry as POSCAR:
```
ZrAgAs4
1.0
0.000 3.899 3.899
3.899 0.000 3.899
3.899 3.899 0.000
Zr Ag As
1 1 4
Direct
0.000 0.000 0.000 Zr
0.750 0.750 0.750 Ag
0.376 0.376 0.376 As
0.376 0.376 0.873 As
0.376 0.873 0.376 As
0.873 0.376 0.376 As
```

Total magnetic moment, μB per cell: 0.0
Density of states at the Fermi level, states/eV per atom: 0.64
Space group: F-43m (216)
Calculated formation energy, meV per atom: 191

(12)
## BaMg14Zn (PBE-GGA)

Data for a relaxed structure of BaMg14Zn.

Geometry as POSCAR:
```
BaMg14Zn
1.0
6.586 0.000 0.000
-3.293 5.704 0.000
0.000 0.000 10.510
Ba Mg Zn
1 14 1
Direct
0.000 0.000 0.000 Ba
0.016 0.508 0.000 Mg
0.168 0.336 0.269 Mg
0.168 0.336 0.731 Mg
0.168 0.832 0.269 Mg
0.168 0.832 0.731 Mg
0.492 0.508 0.000 Mg
0.492 0.984 0.000 Mg
0.505 0.011 0.500 Mg
0.505 0.495 0.500 Mg
0.664 0.832 0.269 Mg
0.664 0.832 0.731 Mg
0.667 0.333 0.238 Mg
0.667 0.333 0.762 Mg
0.989 0.495 0.500 Mg
0.000 0.000 0.500 Zn
```

Total magnetic moment, μB per cell: 0.0
Density of states at the Fermi level, states/eV per atom: 0.60
Space group: P-6m2 (187)
Relative energy among the computed polymorphs, meV/atom: 18.6
Calculated formation energy, meV per atom: 75